A geometry-optimized NaMgBiPt structure. Source: the Open Quantum Materials Database, functional GGA-PBE.

a = 6.891 Å, b = 6.891 Å, c = 6.891 Å
α = 90.00°, β = 90.00°, γ = 90.00°
Fractional coordinates of all 16 atoms:
Na  0.000  0.000  0.000
Na  0.000  0.500  0.500
Na  0.500  0.000  0.500
Na  0.500  0.500  0.000
Mg  0.250  0.250  0.250
Mg  0.250  0.750  0.750
Mg  0.750  0.250  0.750
Mg  0.750  0.750  0.250
Bi  0.250  0.250  0.750
Bi  0.250  0.750  0.250
Bi  0.750  0.250  0.250
Bi  0.750  0.750  0.750
Pt  0.000  0.000  0.500
Pt  0.000  0.500  0.000
Pt  0.500  0.000  0.000
Pt  0.500  0.500  0.500

As for the space-group type: No. 216. The total energy is -3.560 eV per atom. The value obtained for the offset from the most stable computed form is 0.000 eV/atom.